Density functional theory data (PBE) for a geometry-optimized Sr2MgZn2Sn2P4O16 structure.

Cell and atoms, written as POSCAR:
```
Sr2MgZn2Sn2P4O16
1.0
5.434 0.029 0.024
0.679 8.201 0.038
1.740 3.335 9.158
Sr O Zn P Sn Mg
2 16 2 4 2 1
Direct
0.863 0.272 0.029
0.136 0.759 0.001
0.945 0.820 0.744
0.757 0.124 0.623
0.247 0.498 0.914
0.648 0.406 0.778
0.343 0.613 0.628
0.479 0.890 0.809
0.177 0.989 0.117
0.322 0.537 0.245
0.838 0.030 0.875
0.507 0.117 0.212
0.764 0.546 0.101
0.241 0.875 0.389
0.212 0.308 0.771
0.670 0.714 0.271
0.040 0.173 0.268
0.695 0.386 0.375
0.013 0.728 0.582
0.085 0.338 0.369
0.606 0.548 0.245
0.246 0.038 0.240
0.742 0.955 0.770
0.365 0.453 0.779
0.480 0.142 0.483
0.614 0.789 0.460
0.918 0.270 0.703
```

Space-group type   P1 (1)
ΔE_f (raw)   -2.16 eV/atom
Excess energy over the best structure of this formula in the dataset   140 kJ/mol of formula units
DFT total energy   -6.47 eV per atom


Density functional theory data (PBE) for a geometry-optimized Sr2MgZn2Sn2P4O16 structure.

Cell and atoms, written as POSCAR:
```
Sr2MgZn2Sn2P4O16
1.0
5.329 -0.123 0.075
0.154 8.174 -0.052
0.651 2.873 9.630
P O Sr Sn Zn Mg
4 16 2 2 2 1
Direct
0.774 0.032 0.272
0.734 0.437 0.779
0.296 0.960 0.752
0.240 0.548 0.186
0.412 0.712 0.176
0.423 0.400 0.199
0.517 0.029 0.209
0.126 0.811 0.727
0.969 0.402 0.862
0.670 0.279 0.730
0.088 0.573 0.059
0.883 0.214 0.244
0.572 0.897 0.762
0.791 0.594 0.649
0.055 0.530 0.318
0.753 0.935 0.427
0.196 0.994 0.889
0.969 0.939 0.192
0.270 0.113 0.622
0.506 0.479 0.869
0.802 0.810 0.991
0.237 0.244 0.041
0.429 0.368 0.562
0.254 0.808 0.341
0.719 0.379 0.337
0.232 0.561 0.722
0.810 0.842 0.622
```

Space-group type   P1 (1)
ΔE_f (raw)   -2.20 eV/atom
Excess energy over the best structure of this formula in the dataset   17 kJ/mol of formula units
Fermi-level density of states   0.00 states/eV/f.u.
DFT total energy   -6.52 eV per atom


Density functional theory data (PBE) for a geometry-optimized Sr2MgZn2Sn2P4O16 structure.

Cell and atoms, written as POSCAR:
```
Sr2MgZn2Sn2P4O16
1.0
-2.137 2.904 -3.927
-5.189 1.338 4.921
8.062 6.372 3.464
Zn O P Mg Sr Sn
2 16 4 1 2 2
Direct
0.026 0.528 0.643
0.999 0.555 0.253
0.172 0.423 0.104
0.079 0.824 0.657
0.670 0.829 0.800
0.930 0.134 0.724
0.819 0.969 0.091
0.076 0.828 0.263
0.333 0.470 0.340
0.324 0.567 0.810
0.242 0.032 0.898
0.407 0.126 0.716
0.656 0.415 0.184
0.858 0.111 0.341
0.579 0.806 0.225
0.797 0.559 0.908
0.645 0.504 0.661
0.335 0.145 0.195
0.607 0.611 0.798
0.833 0.935 0.226
0.166 0.025 0.752
0.382 0.359 0.205
0.446 0.011 0.335
0.220 0.777 0.018
0.768 0.201 0.947
0.267 0.302 0.500
0.605 0.910 0.613
```

Space-group type   P1 (1)
ΔE_f (raw)   -2.17 eV/atom
Excess energy over the best structure of this formula in the dataset   91 kJ/mol of formula units
Fermi-level density of states   0.00 states/eV/f.u.
DFT total energy   -6.49 eV per atom


Density functional theory data (PBE) for a geometry-optimized Sr2MgZn2Sn2P4O16 structure.

Cell and atoms, written as POSCAR:
```
Sr2MgZn2Sn2P4O16
1.0
-5.750 -0.001 -0.018
-0.537 -8.240 0.002
1.827 3.178 8.644
Zn O P Sr Mg Sn
2 16 4 2 1 2
Direct
0.025 0.689 0.439
0.845 0.429 0.431
0.959 0.844 0.306
0.902 0.518 0.846
0.830 0.982 0.110
0.172 0.961 0.903
0.514 0.913 0.242
0.784 0.157 0.389
0.654 0.739 0.757
0.208 0.445 0.075
0.006 0.151 0.752
0.618 0.427 0.585
0.623 0.392 0.209
0.233 0.875 0.622
0.253 0.289 0.266
0.440 0.144 0.824
0.452 0.524 0.835
0.351 0.612 0.361
0.773 0.970 0.259
0.363 0.433 0.227
0.656 0.551 0.759
0.214 0.027 0.778
0.163 0.773 0.050
0.837 0.204 0.999
0.208 0.369 0.841
0.594 0.819 0.560
0.419 0.177 0.448
```

Space-group type   P1 (1)
ΔE_f (raw)   -2.21 eV/atom
Excess energy over the best structure of this formula in the dataset   0 kJ/mol of formula units
Fermi-level density of states   0.00 states/eV/f.u.
DFT total energy   -6.52 eV per atom


Density functional theory data (PBE) for a geometry-optimized Sr2MgZn2Sn2P4O16 structure.

Cell and atoms, written as POSCAR:
```
Sr2MgZn2Sn2P4O16
1.0
5.201 -1.451 -0.687
1.926 7.948 1.068
-1.262 -4.780 8.737
O Sr P Mg Sn Zn
16 2 4 1 2 2
Direct
0.664 0.975 0.714
0.061 0.852 0.198
0.804 0.288 0.883
0.355 0.209 0.765
0.212 0.719 0.616
0.817 0.135 0.114
0.159 0.852 0.888
0.476 0.341 0.195
0.318 0.779 0.382
0.456 0.050 0.332
0.808 0.295 0.373
0.929 0.470 0.220
0.715 0.220 0.618
0.506 0.652 0.790
0.513 0.767 0.154
0.052 0.534 0.753
0.167 0.166 0.981
0.810 0.617 0.967
0.751 0.318 0.222
0.334 0.858 0.262
0.236 0.693 0.766
0.629 0.170 0.746
0.787 0.010 0.250
0.466 0.335 0.493
0.588 0.719 0.540
0.982 0.693 0.409
0.094 0.286 0.631
```

Space-group type   P1 (1)
ΔE_f (raw)   -2.14 eV/atom
Excess energy over the best structure of this formula in the dataset   187 kJ/mol of formula units
DFT total energy   -6.45 eV per atom


Density functional theory data (PBE) for a geometry-optimized Sr2MgZn2Sn2P4O16 structure.

Cell and atoms, written as POSCAR:
```
Sr2MgZn2Sn2P4O16
1.0
-1.047 -3.611 -4.855
3.599 -4.931 4.776
-8.049 -0.259 4.297
Sr Zn O P Sn Mg
2 2 16 4 2 1
Direct
0.169 0.825 0.037
0.831 0.175 0.963
0.082 0.492 0.631
0.918 0.508 0.369
0.047 0.305 0.768
0.141 0.024 0.844
0.953 0.695 0.232
0.859 0.976 0.156
0.432 0.409 0.370
0.568 0.591 0.630
0.224 0.133 0.592
0.622 0.902 0.771
0.530 0.716 0.160
0.754 0.648 0.909
0.337 0.639 0.826
0.378 0.098 0.229
0.663 0.361 0.174
0.470 0.284 0.840
0.246 0.352 0.091
0.776 0.867 0.408
0.422 0.294 0.213
0.218 0.178 0.762
0.578 0.706 0.787
0.782 0.822 0.238
0.552 0.264 0.562
0.448 0.736 0.438
0.500 0.500 0.000
```

Space-group type   P-1 (2)
ΔE_f (raw)   -2.17 eV/atom
Excess energy over the best structure of this formula in the dataset   103 kJ/mol of formula units
Fermi-level density of states   0.00 states/eV/f.u.
DFT total energy   -6.48 eV per atom


Density functional theory data (PBE) for a geometry-optimized Sr2MgZn2Sn2P4O16 structure.

Cell and atoms, written as POSCAR:
```
Sr2MgZn2Sn2P4O16
1.0
-5.251 -0.025 -0.008
-0.315 -8.407 -0.014
1.578 2.813 9.382
Zn P O Mg Sn Sr
2 4 16 1 2 2
Direct
0.954 0.395 0.382
0.052 0.409 0.629
0.407 0.460 0.232
0.733 0.966 0.226
0.244 0.057 0.726
0.590 0.549 0.788
0.648 0.419 0.646
0.086 0.980 0.814
0.787 0.132 0.353
0.454 0.908 0.228
0.279 0.310 0.268
0.392 0.615 0.358
0.930 0.832 0.254
0.220 0.935 0.572
0.296 0.574 0.786
0.721 0.718 0.798
0.695 0.412 0.218
0.769 0.996 0.085
0.538 0.068 0.789
0.127 0.229 0.732
0.252 0.472 0.091
0.731 0.502 0.918
0.265 0.836 0.371
0.436 0.215 0.457
0.747 0.856 0.653
0.874 0.248 0.991
0.096 0.733 0.008
```

Space-group type   P1 (1)
ΔE_f (raw)   -2.20 eV/atom
Excess energy over the best structure of this formula in the dataset   27 kJ/mol of formula units
Fermi-level density of states   0.00 states/eV/f.u.
DFT total energy   -6.51 eV per atom


Density functional theory data (PBE) for a geometry-optimized Sr2MgZn2Sn2P4O16 structure.

Cell and atoms, written as POSCAR:
```
Sr2MgZn2Sn2P4O16
1.0
5.557 -0.401 0.049
-1.040 8.140 0.444
-1.512 -2.510 9.376
O Sr Zn Mg P Sn
16 2 2 1 4 2
Direct
0.779 0.304 0.251
0.761 0.264 0.806
0.091 0.087 0.807
0.394 0.093 0.121
0.928 0.655 0.060
0.562 0.889 0.572
0.920 0.952 0.173
0.350 0.597 0.586
0.505 0.826 0.814
0.640 0.695 0.233
0.812 0.700 0.685
0.226 0.401 0.822
0.061 0.303 0.026
0.590 0.075 0.373
0.358 0.303 0.330
0.102 0.765 0.323
0.132 0.847 0.914
0.596 0.397 0.019
0.466 0.828 0.356
0.570 0.147 0.611
0.051 0.193 0.187
0.901 0.772 0.197
0.560 0.757 0.671
0.531 0.189 0.269
0.032 0.258 0.863
0.217 0.317 0.587
0.917 0.560 0.482
```

Space-group type   P1 (1)
ΔE_f (raw)   -2.18 eV/atom
Excess energy over the best structure of this formula in the dataset   65 kJ/mol of formula units
Fermi-level density of states   0.00 states/eV/f.u.
DFT total energy   -6.50 eV per atom